# LaReRu2 PBE relaxed
data_LaReRu2
_chemical_formula_sum 'La1 Re1 Ru2'
_symmetry_space_group_name_H-M 'P 1'
_symmetry_Int_Tables_number 1
_symmetry_space_group_name_Hall 'P 1'
_cell_length_a 4.763
_cell_length_b 4.763
_cell_length_c 4.763
_cell_angle_alpha 124.98
_cell_angle_beta 124.98
_cell_angle_gamma 81.57
loop_
_atom_site_label
_atom_site_type_symbol
_atom_site_fract_x
_atom_site_fract_y
_atom_site_fract_z
La1 La 0.500 0.500 0.000
Re1 Re 0.750 0.250 0.500
Ru1 Ru 0.000 0.000 0.000
Ru2 Ru 0.250 0.750 0.500
# uncorrected energy	-8.3701	eV per atom



# BaLiH2O PBE relaxed
data_BaLiH2O
_chemical_formula_sum 'Ba1 Li1 H2 O1'
_symmetry_space_group_name_H-M 'P 1'
_symmetry_Int_Tables_number 1
_symmetry_space_group_name_Hall 'P 1'
_cell_length_a 4.606
_cell_length_b 3.483
_cell_length_c 4.606
_cell_angle_alpha 90.00
_cell_angle_beta 90.00
_cell_angle_gamma 90.00
loop_
_atom_site_label
_atom_site_type_symbol
_atom_site_fract_x
_atom_site_fract_y
_atom_site_fract_z
H1 H 0.000 0.000 0.500
H2 H 0.500 0.000 0.000
Ba1 Ba 0.500 0.500 0.500
O1 O 0.000 0.000 0.000
Li1 Li 0.000 0.500 0.000
# uncorrected energy	-3.3940	eV per atom



# Tb4Pm3Ho2 PBE relaxed
data_Tb4Pm3Ho2
_chemical_formula_sum 'Tb4 Pm3 Ho2'
_symmetry_space_group_name_H-M 'P 1'
_symmetry_Int_Tables_number 1
_symmetry_space_group_name_Hall 'P 1'
_cell_length_a 5.067
_cell_length_b 8.002
_cell_length_c 8.013
_cell_angle_alpha 107.52
_cell_angle_beta 108.43
_cell_angle_gamma 90.00
loop_
_atom_site_label
_atom_site_type_symbol
_atom_site_fract_x
_atom_site_fract_y
_atom_site_fract_z
Tb1 Tb 0.556 0.333 0.112
Tb2 Tb 0.778 0.668 0.557
Tb3 Tb 0.444 0.667 0.888
Tb4 Tb 0.222 0.332 0.443
Pm1 Pm 0.889 0.334 0.777
Pm2 Pm 0.111 0.666 0.223
Pm3 Pm 0.000 0.000 0.000
Ho1 Ho 0.333 0.000 0.665
Ho2 Ho 0.667 0.000 0.335
# uncorrected energy	-4.6417	eV per atom



# Sr8Ag3Au2 PBE relaxed
data_Sr8Ag3Au2
_chemical_formula_sum 'Sr8 Ag3 Au2'
_symmetry_space_group_name_H-M 'P 1'
_symmetry_Int_Tables_number 1
_symmetry_space_group_name_Hall 'P 1'
_cell_length_a 5.485
_cell_length_b 11.048
_cell_length_c 9.533
_cell_angle_alpha 125.35
_cell_angle_beta 90.00
_cell_angle_gamma 90.00
loop_
_atom_site_label
_atom_site_type_symbol
_atom_site_fract_x
_atom_site_fract_y
_atom_site_fract_z
Sr1 Sr 0.000 0.626 0.252
Sr2 Sr 0.000 0.374 0.748
Sr3 Sr 0.000 0.126 0.252
Sr4 Sr 0.000 0.874 0.748
Sr5 Sr 0.500 0.625 0.747
Sr6 Sr 0.500 0.122 0.747
Sr7 Sr 0.500 0.878 0.253
Sr8 Sr 0.500 0.375 0.253
Ag1 Ag 0.500 0.000 0.000
Ag2 Ag 0.000 0.251 0.000
Ag3 Ag 0.000 0.749 0.000
Au1 Au 0.500 0.253 0.507
Au2 Au 0.500 0.747 0.493
# uncorrected energy	-2.5372	eV per atom



Density? In order: 12.54; 3.65; 7.96; 5.00 Mg/m³.